No. 1
Here is a geometry-optimized MgIrPt3 structure from Alexandria via LeMat-Bulk. Energies are from PBE-GGA.

abc: 4.8578 4.8578 4.8578
angles: 90.00 90.00 90.00
Last column: nearest neighbours and their distance in Å.
Element x y z (fractional)
Pt 0.0000 0.0000 0.5000  2 Ir 2.43
Pt 0.0000 0.5000 0.0000  2 Ir 2.43
Pt 0.5000 0.0000 0.0000  2 Ir 2.43
Ir 0.0000 0.0000 0.0000  6 Pt 2.43
Mg 0.5000 0.5000 0.5000  12 Pt 3.43

## Properties
N(E_F)   9.5 states/eV/cell
E   -4.822 eV/atom
E above lowest polymorph   0 kJ/mol of formula units
Formation enthalpy at 0 K   0.89 eV per atom



No. 2
Here is a geometry-optimized HgC3 structure from Alexandria via LeMat-Bulk. Energies are from PBE-GGA.

abc: 4.0011 4.0011 4.0011
angles: 60.00 60.00 60.00
Last column: nearest neighbours and their distance in Å.
Element x y z (fractional)
C 0.0000 0.0000 0.0000  4 Hg 2.45, 4 C 2.45
C 0.5000 0.5000 0.5000  4 Hg 2.45, 4 C 2.45
C 0.7500 0.7500 0.7500  8 C 2.45
Hg 0.2500 0.2500 0.2500  8 C 2.45

## Properties
N(E_F)   3.1 states/eV/cell
E   -3.193 eV/atom
E above lowest polymorph   1181 kJ/mol of formula units
Formation enthalpy at 0 K   3.80 eV per atom



No. 3
Here is a geometry-optimized InAgAu14 structure from Alexandria via LeMat-Bulk. Energies are from PBE-GGA.

abc: 5.9236 5.9236 9.5932
angles: 90.00 90.00 119.74
Last column: nearest neighbours and their distance in Å.
Element x y z (fractional)
Au 0.0425 0.4586 0.5000  8 Au 2.95-2.98, 2 In 2.95-2.97, 2 Ag 2.96-2.97
Au 0.2084 0.2924 0.0000  12 Au 2.94-2.98
Au 0.7076 0.7916 0.0000  12 Au 2.94-2.98
Au 0.3750 0.6250 0.7504  11 Au 2.94-2.97, 1 In 2.96
Au 0.8751 0.1249 0.7506  11 Au 2.94-2.97, 1 Ag 2.95
Au 0.3750 0.6250 0.2496  11 Au 2.94-2.97, 1 In 2.96
Au 0.8757 0.6261 0.7505  10 Au 2.94-2.98, 1 Ag 2.95, 1 In 2.95
Au 0.3739 0.1243 0.7505  10 Au 2.94-2.98, 1 Ag 2.95, 1 In 2.95
Au 0.2078 0.7922 0.0000  12 Au 2.94-2.97
Au 0.8751 0.1249 0.2494  11 Au 2.94-2.97, 1 Ag 2.95
Au 0.7075 0.2925 0.0000  12 Au 2.95-2.97
Au 0.3739 0.1243 0.2495  10 Au 2.94-2.98, 1 Ag 2.95, 1 In 2.95
Au 0.5414 0.9575 0.5000  8 Au 2.95-2.98, 2 In 2.95-2.97, 2 Ag 2.96-2.97
Au 0.8757 0.6261 0.2495  10 Au 2.94-2.98, 1 Ag 2.95, 1 In 2.95
In 0.5430 0.4570 0.5000  10 Au 2.95-2.97, 2 Ag 2.97
Ag 0.0423 0.9577 0.5000  10 Au 2.95-2.97, 2 In 2.97

## Properties
N(E_F)   4.5 states/eV/cell
E   -3.243 eV/atom
Formation enthalpy at 0 K   -0.03 eV per atom



No. 4
Here is a geometry-optimized TbSmTe2 structure from Alexandria via LeMat-Bulk. Energies are from PBE-GGA.

abc: 5.3959 5.3959 5.3959
angles: 60.00 60.00 60.00
Last column: nearest neighbours and their distance in Å.
Element x y z (fractional)
Te 0.2500 0.2500 0.2500  4 Tb 3.30, 4 Sm 3.30
Te 0.7500 0.7500 0.7500  4 Tb 3.30, 4 Sm 3.30
Tb 0.5000 0.5000 0.5000  8 Te 3.30
Sm 0.0000 0.0000 0.0000  8 Te 3.30

## Properties
N(E_F)   3.5 states/eV/cell
E   -5.138 eV/atom
Formation energy from raw total energies   -475 kJ/mol of formula units
E above lowest polymorph   54 kJ/mol of formula units



No. 5
Here is a geometry-optimized Pr5Y6In structure from Alexandria via LeMat-Bulk. Energies are from PBE-GGA.

abc: 5.0830 9.5013 9.5013
angles: 106.66 105.50 105.50
Last column: nearest neighbours and their distance in Å.
Element x y z (fractional)
Pr 0.5000 0.1689 0.8311  8 Y 3.55-3.64, 2 Pr 3.61, 2 In 3.62
Pr 0.0000 0.3373 0.6627  4 Pr 3.55-3.61, 8 Y 3.62-3.64
Pr 0.0000 0.6627 0.3373  4 Pr 3.55-3.61, 8 Y 3.62-3.64
Pr 0.5000 0.5000 0.5000  4 Pr 3.55, 8 Y 3.60-3.66
Pr 0.5000 0.8311 0.1689  8 Y 3.55-3.64, 2 Pr 3.61, 2 In 3.62
Y 0.7562 0.9200 0.5926  1 In 3.51, 7 Pr 3.55-3.64, 4 Y 3.56-3.66
Y 0.2594 0.7596 0.7596  2 In 3.52, 6 Pr 3.55-3.66, 4 Y 3.56
Y 0.2438 0.4074 0.0800  1 In 3.51, 7 Pr 3.55-3.64, 4 Y 3.56-3.66
Y 0.7562 0.5926 0.9200  1 In 3.51, 7 Pr 3.55-3.64, 4 Y 3.56-3.66
Y 0.2438 0.0800 0.4074  1 In 3.51, 7 Pr 3.55-3.64, 4 Y 3.56-3.66
Y 0.7406 0.2404 0.2404  2 In 3.52, 6 Pr 3.55-3.66, 4 Y 3.56
In 0.0000 0.0000 0.0000  8 Y 3.51-3.52, 4 Pr 3.62

## Properties
N(E_F)   16.6 states/eV/cell
E   -5.504 eV/atom
Formation enthalpy at 0 K   -0.05 eV per atom



No. 6
Here is a geometry-optimized SbTeMo structure from Alexandria via LeMat-Bulk. Energies are from PBE-GGA.

abc: 3.3685 6.0076 7.9484
angles: 98.61 100.80 85.32
Last column: nearest neighbours and their distance in Å.
Element x y z (fractional)
Mo 0.1914 0.2196 0.4999  3 Te 2.66-2.85, 3 Sb 2.75-2.87
Mo 0.8086 0.7804 0.5001  3 Te 2.66-2.85, 3 Sb 2.75-2.87
Sb 0.1546 0.8757 0.2273  3 Mo 2.75-2.87
Sb 0.8454 0.1243 0.7727  3 Mo 2.75-2.87
Te 0.4021 0.6213 0.7295  3 Mo 2.66-2.85
Te 0.5979 0.3787 0.2705  3 Mo 2.66-2.85

## Properties
N(E_F)   2.5 states/eV/cell
E   -6.007 eV/atom
Formation energy from raw total energies   7 kJ/mol of formula units
E above lowest polymorph   0 kJ/mol of formula units



No. 7
Here is a geometry-optimized SmYHo2Tm6 structure from Alexandria via LeMat-Bulk. Energies are from PBE-GGA.

abc: 9.4472 8.7042 8.7042
angles: 118.06 93.73 93.73
Last column: nearest neighbours and their distance in Å.
Element x y z (fractional)
Tm 0.8176 0.4308 0.9781  4 Tm 3.17-3.54, 2 Ho 3.35-3.53, 1 Y 3.45, 1 Sm 3.54
Tm 0.5574 0.7499 0.1249  7 Tm 3.35-3.67, 1 Ho 3.46, 1 Sm 3.66
Tm 0.8812 0.2900 0.5068  4 Tm 3.17-3.47, 3 Ho 3.24-3.38, 2 Y 3.39-3.50
Tm 0.9426 0.8751 0.2501  7 Tm 3.35-3.67, 1 Ho 3.46, 1 Sm 3.66
Tm 0.6824 0.0219 0.5692  4 Tm 3.17-3.54, 2 Ho 3.35-3.53, 1 Y 3.45, 1 Sm 3.54
Tm 0.6188 0.4932 0.7100  4 Tm 3.17-3.47, 3 Ho 3.24-3.38, 2 Y 3.39-3.50
Tm 0.1188 0.7100 0.4932  4 Tm 3.17-3.47, 3 Ho 3.24-3.38, 2 Y 3.39-3.50
Tm 0.3176 0.9781 0.4308  4 Tm 3.17-3.54, 2 Ho 3.35-3.53, 1 Y 3.45, 1 Sm 3.54
Tm 0.1824 0.5692 0.0219  4 Tm 3.17-3.54, 2 Ho 3.35-3.53, 1 Y 3.45, 1 Sm 3.54
Tm 0.0574 0.1249 0.7499  7 Tm 3.35-3.67, 1 Ho 3.46, 1 Sm 3.66
Tm 0.3812 0.5068 0.2900  4 Tm 3.17-3.47, 3 Ho 3.24-3.38, 2 Y 3.39-3.50
Tm 0.4426 0.2501 0.8751  7 Tm 3.35-3.67, 1 Ho 3.46, 1 Sm 3.66
Sm 0.2500 0.9752 0.0248  4 Ho 3.35-3.38, 4 Tm 3.54-3.66
Sm 0.7500 0.0248 0.9752  4 Ho 3.35-3.38, 4 Tm 3.54-3.66
Ho 0.0452 0.3039 0.1966  6 Tm 3.24-3.53, 2 Sm 3.35-3.38, 1 Y 3.51
Ho 0.4548 0.8034 0.6961  6 Tm 3.24-3.53, 2 Sm 3.35-3.38, 1 Y 3.51
Ho 0.9548 0.6961 0.8034  6 Tm 3.24-3.53, 2 Sm 3.35-3.38, 1 Y 3.51
Ho 0.5452 0.1966 0.3039  6 Tm 3.24-3.53, 2 Sm 3.35-3.38, 1 Y 3.51
Y 0.2500 0.4090 0.5910  8 Tm 3.39-3.78, 2 Ho 3.51
Y 0.7500 0.5910 0.4090  8 Tm 3.39-3.78, 2 Ho 3.51

## Properties
N(E_F)   28.8 states/eV/cell
E   -4.595 eV/atom
Formation enthalpy at 0 K   0.12 eV per atom



No. 8
Here is a geometry-optimized MnI2N structure from Alexandria via LeMat-Bulk. Energies are from PBE-GGA.

abc: 5.1768 5.1768 5.1768
angles: 60.00 60.00 60.00
Last column: nearest neighbours and their distance in Å.
Element x y z (fractional)
N 0.0000 0.0000 0.0000  8 I 3.17
I 0.7500 0.7500 0.7500  4 Mn 3.17, 4 N 3.17
I 0.2500 0.2500 0.2500  4 Mn 3.17, 4 N 3.17
Mn 0.5000 0.5000 0.5000  8 I 3.17

## Properties
N(E_F)   0.2 states/eV/cell
E   -3.893 eV/atom
Formation energy from raw total energies   484 kJ/mol of formula units
E above lowest polymorph   111 kJ/mol of formula units



No. 9
Here is a geometry-optimized Tm2Al8Rh structure from Alexandria via LeMat-Bulk. Energies are from PBE-GGA.

abc: 4.2529 4.2529 11.0991
angles: 90.00 90.00 90.00
Last column: nearest neighbours and their distance in Å.
Element x y z (fractional)
Al 0.5000 0.0000 0.1221  2 Rh 2.52, 1 Al 2.71
Al 0.5000 0.5000 0.3067  8 Al 2.95-3.02, 4 Tm 3.01
Al 0.0000 0.5000 0.8779  2 Rh 2.52, 1 Al 2.71
Al 0.5000 0.0000 0.8779  2 Rh 2.52, 1 Al 2.71
Al 0.0000 0.5000 0.1221  2 Rh 2.52, 1 Al 2.71
Al 0.0000 0.5000 0.5000  4 Tm 2.99, 8 Al 3.01-3.02
Al 0.5000 0.0000 0.5000  4 Tm 2.99, 8 Al 3.01-3.02
Al 0.5000 0.5000 0.6933  8 Al 2.95-3.02, 4 Tm 3.01
Tm 0.0000 0.0000 0.6893  12 Al 2.98-3.01
Tm 0.0000 0.0000 0.3107  12 Al 2.98-3.01
Rh 0.0000 0.0000 0.0000  8 Al 2.52

## Properties
N(E_F)   4.4 states/eV/cell
E   -4.741 eV/atom
Formation enthalpy at 0 K   -0.54 eV per atom



No. 10
Here is a geometry-optimized NbSb2I structure from Alexandria via LeMat-Bulk. Energies are from PBE-GGA.

abc: 6.8662 6.8662 8.3908
angles: 65.85 65.85 90.00
Last column: nearest neighbours and their distance in Å.
Element x y z (fractional)
I 0.0000 0.0000 0.0000  4 Sb 3.37
I 0.7500 0.2500 0.5000  4 Sb 3.37
Sb 0.2152 0.6250 0.2500  2 Nb 2.66
Sb 0.5348 0.1250 0.2500  2 Nb 2.66
Sb 0.3750 0.4652 0.7500  2 Nb 2.66
Sb 0.8750 0.7848 0.7500  2 Nb 2.66
Nb 0.2500 0.7500 0.5000  4 Sb 2.66
Nb 0.5000 0.5000 0.0000  4 Sb 2.66

## Properties
N(E_F)   3.5 states/eV/cell
E   -4.438 eV/atom
Formation energy from raw total energies   204 kJ/mol of formula units
E above lowest polymorph   0 kJ/mol of formula units